Record 1
Entry from the Alexandria database: a relaxed LiTlRu2 crystal (GGA-PBE).

The electronic total energy comes out at -5.1426 eV/atom. Its energy of formation is 565 meV/atom. The distance to the lowest polymorph of the same formula is 334.9 meV per atom.

The structure belongs to space group Fm-3m (No. 225); the cell edges are 6.339, 6.339 and 6.339 Å and the angles 90.00°, 90.00° and 90.00°. Symmetry generates all atoms from Li at (0.000, 0.000, 0.000), Tl at (0.000, 0.000, 0.500) and Ru at (0.250, 0.250, 0.250).

Record 2
Entry from the Alexandria database: a relaxed BaNd2Co crystal (GGA-PBE).

The electronic total energy comes out at -4.5268 eV/atom. Its energy of formation is 114 meV/atom.

The structure belongs to space group R-3m (No. 166, hexagonal axes); the cell edges are 3.9938, 3.9938 and 32.2757 Å and the angles 90.00°, 90.00° and 120.00°. Symmetry generates all atoms from Ba at (0.0000, 0.0000, 0.0000), Nd at (0.0000, 0.0000, 0.1206) and Co at (0.0000, 0.0000, 0.5000).

Record 3
Entry from the Alexandria database: a relaxed Tb3Cu3Au crystal (GGA-PBE).

The electronic total energy comes out at -4.5837 eV/atom. Its energy of formation is -376 meV/atom.

The structure belongs to space group Imm2 (No. 44); the cell edges are 3.654, 4.309 and 19.055 Å and the angles 90.00°, 90.00° and 90.00°. Symmetry generates all atoms from Tb at (0.000, 0.000, 0.000), Tb at (0.000, 0.000, 0.374), Tb at (0.000, 0.500, 0.180), Cu at (0.000, 0.000, 0.545), Cu at (0.000, 0.000, 0.834), Cu at (0.000, 0.500, 0.615) and Au at (0.000, 0.500, 0.750).